Run 1
Computed, not measured: a relaxed structure of Sc3ZnHg at the PBE-GGA level of DFT.

density of states at the Fermi level	8.58	states/eV per cell
crystal system	cubic

Geometry as extended XYZ:
```
5
Lattice="-2.0562 -4.3684 1.4252 4.4990 -2.2314 -0.3486 0.9342 1.1313 4.8155" Properties=species:S:1:pos:R:3 pbc="T T T"
Sc 2.2495 -1.1157 -0.1743
Sc 0.4671 0.5657 2.4078
Sc -1.0281 -2.1842 0.7126
Zn 0.0000 0.0000 0.0000
Hg 1.6886 -2.7342 2.9460
```

Run 2
Computed, not measured: a relaxed structure of Sc3ZnHg at the PBE-GGA level of DFT.

density of states at the Fermi level	10.10	states/eV per cell
crystal system	orthorhombic

Geometry as extended XYZ:
```
10
Lattice="4.7127 0.0000 1.0770 0.0000 4.8345 0.0000 0.3169 0.0000 9.4628" Properties=species:S:1:pos:R:3 pbc="T T T"
Sc 3.6444 1.2086 1.9364
Sc 2.0868 1.2086 8.7520
Sc 2.8643 1.2086 5.3499
Sc 1.2855 3.6259 1.4090
Sc 4.4406 3.6259 9.3016
Sc 0.5081 3.6259 4.8111
Zn 3.2639 3.6259 3.6016
Zn 4.8212 1.2086 7.6364
Hg 2.4740 3.6259 7.0579
Hg 0.8984 1.2086 3.1031
```

Most stable to least stable, the ends of the list are run 2 and run 1.

Run 1
Computed, not measured: a relaxed structure of ZrSc2Hg2 at the PBE-GGA level of DFT.

density of states at the Fermi level	9.45	states/eV per cell
crystal system	tetragonal

Geometry as extended XYZ:
```
10
Lattice="-4.7842 1.3917 -6.3923 2.1858 -7.1241 -3.1869 -2.6062 -1.5237 1.6188" Properties=species:S:1:pos:R:3 pbc="T T T"
Sc 0.1797 -5.5766 -4.9598
Sc -2.6557 -3.4356 -7.5095
Sc -2.7781 -0.1559 -4.6194
Sc 0.0573 -2.2968 -2.0697
Hg -0.6038 -5.1922 -2.2351
Hg -2.5652 -5.9002 -6.0592
Hg -4.6008 -2.0639 -5.7254
Hg -2.6394 -1.3560 -1.9012
Zr 0.0000 0.0000 0.0000
Zr -1.2992 -2.8662 -4.7896
```

Run 2
Computed, not measured: a relaxed structure of ZrSc2Hg2 at the PBE-GGA level of DFT.

density of states at the Fermi level	8.98	states/eV per cell
crystal system	tetragonal

Geometry as extended XYZ:
```
10
Lattice="-2.9430 1.7835 -7.3224 -5.5780 -5.8016 0.8288 -2.1633 2.2836 1.4257" Properties=species:S:1:pos:R:3 pbc="T T T"
Sc -5.3124 -2.4388 0.0286
Sc -7.6853 -2.4847 -3.4987
Sc -5.3719 0.7043 -5.0965
Sc -2.9990 0.7502 -1.5692
Hg -5.9244 -4.3793 -1.9749
Hg -6.0799 -2.1189 -5.8317
Hg -2.5966 0.3612 -4.5186
Hg -2.4411 -1.8992 -0.6619
Zr 0.0000 0.0000 0.0000
Zr -4.2605 -2.0090 -3.2468
```

Most stable to least stable, the ends of the list are run 2 and run 1.

Run 1
Computed, not measured: a relaxed structure of HgSe5 at the PBE-GGA level of DFT.

density of states at the Fermi level	1.78	states/eV per cell
crystal system	monoclinic

Geometry as extended XYZ:
```
6
Lattice="1.8618 4.2201 0.7305 -1.8618 4.2201 0.7305 0.0000 4.4078 11.5091" Properties=species:S:1:pos:R:3 pbc="T T T"
Hg 0.0000 6.1291 10.9002
Se 0.0000 5.0499 7.3347
Se 0.0000 6.0585 4.0345
Se 0.0000 9.0095 10.1336
Se 0.0000 8.8556 6.3528
Se 0.0000 2.7696 1.8292
```

Run 2
Computed, not measured: a relaxed structure of HgSe5 at the PBE-GGA level of DFT.

density of states at the Fermi level	3.94	states/eV per cell
crystal system	hexagonal

Geometry as extended XYZ:
```
6
Lattice="3.3605 -5.8206 0.0000 3.3605 5.8206 0.0000 0.0000 0.0000 3.7367" Properties=species:S:1:pos:R:3 pbc="T T T"
Hg 0.0000 0.0000 1.8684
Se 2.0580 -3.5645 0.0000
Se 2.6052 0.0000 0.0000
Se 2.0580 3.5645 0.0000
Se 3.3605 -1.9402 1.8684
Se 3.3605 1.9402 1.8684
```

Run 3
Computed, not measured: a relaxed structure of HgSe5 at the PBE-GGA level of DFT.

density of states at the Fermi level	5.93	states/eV per cell
crystal system	cubic

Geometry as extended XYZ:
```
6
Lattice="0.7689 -4.5642 3.5466 -1.8709 0.2472 5.5172 -4.5807 -3.1978 1.6713" Properties=species:S:1:pos:R:3 pbc="T T T"
Hg 0.0000 0.0000 0.0000
Se -1.4207 -1.8787 2.6838
Se -3.4958 -4.6229 6.6039
Se -1.3856 -3.1497 5.8340
Se -3.8501 -2.5202 4.9701
Se -2.6339 -4.7368 4.0622
```

Run 4
Computed, not measured: a relaxed structure of HgSe5 at the PBE-GGA level of DFT.

density of states at the Fermi level	2.38	states/eV per cell
crystal system	orthorhombic

Geometry as extended XYZ:
```
6
Lattice="2.8367 -7.6958 0.0000 2.8367 7.6958 0.0000 0.0000 0.0000 3.7134" Properties=species:S:1:pos:R:3 pbc="T T T"
Hg 2.8367 0.0000 0.0000
Se 2.8367 3.8712 1.8567
Se 2.8367 5.6291 0.0000
Se 0.0000 0.0000 1.8567
Se 2.8367 -5.6291 0.0000
Se 2.8367 -3.8712 1.8567
```

Most stable to least stable, the ends of the list are run 1 and run 3.

Run 1
Computed, not measured: a relaxed structure of HgSe4 at the PBE-GGA level of DFT.

density of states at the Fermi level	4.37	states/eV per cell
crystal system	cubic

Geometry as extended XYZ:
```
5
Lattice="-2.3581 -5.0010 -0.7243 -2.9503 2.9251 3.7195 0.0943 2.7320 -4.8603" Properties=species:S:1:pos:R:3 pbc="T T T"
Hg 0.0000 0.0000 0.0000
Se -1.4752 1.4625 1.8598
Se -2.6070 0.3280 -0.9325
Se -1.1790 -2.5005 -0.3621
Se 0.0472 1.3660 -2.4302
```

Run 2
Computed, not measured: a relaxed structure of HgSe4 at the PBE-GGA level of DFT.

density of states at the Fermi level	3.91	states/eV per cell
crystal system	tetragonal

Geometry as extended XYZ:
```
5
Lattice="3.7284 -2.5018 4.3904 -4.9244 3.8888 -0.2523 -3.0354 -5.2632 -1.5875" Properties=species:S:1:pos:R:3 pbc="T T T"
Hg 0.0000 0.0000 0.0000
Se 1.3841 -1.4181 3.3497
Se -1.3099 -2.4188 0.4321
Se -5.6155 -2.4581 -0.7991
Se -2.9215 -1.4575 2.1185
```

Run 3
Computed, not measured: a relaxed structure of HgSe4 at the PBE-GGA level of DFT.

density of states at the Fermi level	7.22	states/eV per cell
crystal system	cubic

Geometry as extended XYZ:
```
5
Lattice="-1.8960 4.2526 -2.3534 -4.6078 -2.3763 -0.5818 -1.5462 1.8672 4.6196" Properties=species:S:1:pos:R:3 pbc="T T T"
Hg -4.0250 1.8717 0.8422
Se 0.0000 0.0000 0.0000
Se -1.7211 3.0599 1.1331
Se -3.0770 -0.2546 2.0189
Se -3.2519 0.9381 -1.4676
```

Most stable to least stable, the ends of the list are run 2 and run 3.

Run 1
Computed, not measured: a relaxed structure of SiHg2Se at the PBE-GGA level of DFT.

density of states at the Fermi level	0.66	states/eV per cell
crystal system	trigonal

Geometry as extended XYZ:
```
4
Lattice="-8.3277 2.9463 -4.0693 -9.2654 -0.3294 -2.9383 -9.3868 2.4543 -0.6745" Properties=species:S:1:pos:R:3 pbc="T T T"
Hg -0.3807 0.0716 -0.1084
Hg -6.8246 1.2828 -1.9432
Se -12.7893 2.4039 -3.6415
Si -20.4752 3.8486 -5.8299
```

Run 2
Computed, not measured: a relaxed structure of SiHg2Se at the PBE-GGA level of DFT.

density of states at the Fermi level	0.69	states/eV per cell
crystal system	monoclinic

Geometry as extended XYZ:
```
4
Lattice="5.7777 -0.0014 0.0317 4.8003 3.2154 0.0317 2.7679 0.8410 5.8780" Properties=species:S:1:pos:R:3 pbc="T T T"
Hg 12.7434 3.8719 5.8653
Hg 10.0307 3.0477 4.4640
Se 7.1507 2.1726 2.2645
Si 3.4400 1.0452 2.2599
```

Most stable to least stable, the ends of the list are run 1 and run 2.

Run 1
Computed, not measured: a relaxed structure of Si2Hg2Se at the PBE-GGA level of DFT.

density of states at the Fermi level	5.02	states/eV per cell
crystal system	tetragonal

Geometry as extended XYZ:
```
10
Lattice="7.7649 0.0000 0.0000 0.0000 7.7649 0.0000 0.0000 0.0000 3.7160" Properties=species:S:1:pos:R:3 pbc="T T T"
Si 0.8312 4.7136 1.8580
Si 4.7136 6.9337 1.8580
Si 6.9337 3.0512 1.8580
Si 3.0512 0.8312 1.8580
Hg 2.4531 6.3355 0.0000
Hg 6.3355 5.3117 0.0000
Hg 5.3117 1.4293 0.0000
Hg 1.4293 2.4531 0.0000
Se 0.0000 0.0000 0.0000
Se 3.8824 3.8824 0.0000
```

Run 2
Computed, not measured: a relaxed structure of Si2Hg2Se at the PBE-GGA level of DFT.

density of states at the Fermi level	2.61	states/eV per cell
crystal system	tetragonal

Geometry as extended XYZ:
```
5
Lattice="3.5555 0.0000 0.0000 0.0000 3.5555 0.0000 1.7778 1.7778 8.4391" Properties=species:S:1:pos:R:3 pbc="T T T"
Si 3.5555 1.7778 4.2195
Si 1.7778 3.5555 4.2195
Hg 1.7778 1.7778 1.7194
Hg 3.5555 3.5555 6.7196
Se 0.0000 0.0000 0.0000
```

Most stable to least stable, the ends of the list are run 2 and run 1.